VASP calculation (SCAN) on CaMg5 at its PBEsol-relaxed geometry.

Calculated values
The energy of formation comes out at -0.017 eV/atom. The crystal system is tetragonal.

abc: 3.560 3.560 11.738
angles: 90.00 90.00 90.00
Element x y z (fractional)
Ca: 0.000 0.000 0.000
Mg: 0.000 0.000 0.346
Mg: 0.000 0.000 0.654
Mg: 0.500 0.500 0.196
Mg: 0.500 0.500 0.500
Mg: 0.500 0.500 0.804



VASP calculation (SCAN) on CaMg5 at its PBEsol-relaxed geometry.

Calculated values
The energy of formation comes out at -0.012 eV/atom. The crystal system is orthorhombic.

abc: 7.219 7.219 4.766
angles: 90.00 90.00 142.73
Element x y z (fractional)
Ca: 0.000 0.000 0.000
Mg: 0.170 0.830 0.500
Mg: 0.324 0.676 0.000
Mg: 0.500 0.500 0.500
Mg: 0.676 0.324 0.000
Mg: 0.830 0.170 0.500



VASP calculation (SCAN) on Ca4Mg5 at its PBEsol-relaxed geometry.

Calculated values
The calculation puts the polymorph energy (0 for the lowest one) at 26.2 meV/atom. The energy of formation comes out at 0.011 eV/atom. The crystal system is hexagonal.

abc: 9.645 9.645 6.664
angles: 90.00 90.00 120.00
Element x y z (fractional)
Ca: 0.000 0.000 0.000
Ca: 0.000 0.000 0.500
Ca: 0.000 0.350 0.250
Ca: 0.000 0.650 0.750
Ca: 0.350 0.000 0.250
Ca: 0.350 0.350 0.750
Ca: 0.650 0.000 0.750
Ca: 0.650 0.650 0.250
Mg: 0.000 0.323 0.750
Mg: 0.000 0.677 0.250
Mg: 0.323 0.000 0.750
Mg: 0.323 0.323 0.250
Mg: 0.333 0.667 0.000
Mg: 0.333 0.667 0.500
Mg: 0.667 0.333 0.000
Mg: 0.667 0.333 0.500
Mg: 0.677 0.000 0.250
Mg: 0.677 0.677 0.750



VASP calculation (SCAN) on Ca4Mg3 at its PBEsol-relaxed geometry.

Calculated values
The calculation puts the polymorph energy (0 for the lowest one) at 12.5 meV/atom. The energy of formation comes out at -0.022 eV/atom. The crystal system is hexagonal.

abc: 6.290 6.290 6.604
angles: 90.00 90.00 120.00
Element x y z (fractional)
Ca: 0.000 0.000 0.246
Ca: 0.000 0.000 0.754
Ca: 0.333 0.667 0.500
Ca: 0.667 0.333 0.500
Mg: 0.000 0.500 0.000
Mg: 0.500 0.000 0.000
Mg: 0.500 0.500 0.000



VASP calculation (SCAN) on Ca5Mg at its PBEsol-relaxed geometry.

Calculated values
The calculation puts the polymorph energy (0 for the lowest one) at 0.0 meV/atom. The energy of formation comes out at -0.003 eV/atom. The crystal system is monoclinic.

abc: 7.011 7.011 8.519
angles: 107.42 107.42 34.19
Element x y z (fractional)
Ca: 0.000 0.000 0.000
Ca: 0.017 0.017 0.458
Ca: 0.352 0.352 0.650
Ca: 0.686 0.686 0.840
Ca: 0.704 0.704 0.300
Mg: 0.351 0.351 0.148



VASP calculation (SCAN) on Ca4Mg5 at its PBEsol-relaxed geometry.

Calculated values
The calculation puts the polymorph energy (0 for the lowest one) at 0.0 meV/atom. The energy of formation comes out at -0.015 eV/atom. The crystal system is tetragonal.

abc: 7.682 7.682 7.682
angles: 96.40 96.40 140.99
Element x y z (fractional)
Ca: 0.000 0.314 0.314
Ca: 0.000 0.686 0.686
Ca: 0.314 0.000 0.314
Ca: 0.686 0.000 0.686
Mg: 0.000 0.000 0.000
Mg: 0.343 0.343 0.686
Mg: 0.343 0.657 0.000
Mg: 0.657 0.343 0.000
Mg: 0.657 0.657 0.314



VASP calculation (SCAN) on Ca5Mg at its PBEsol-relaxed geometry.

Calculated values
The calculation puts the polymorph energy (0 for the lowest one) at 42.1 meV/atom. The energy of formation comes out at 0.039 eV/atom. The crystal system is hexagonal.

abc: 3.795 3.795 18.204
angles: 90.00 90.00 120.00
Element x y z (fractional)
Ca: 0.000 0.000 0.000
Ca: 0.000 0.000 0.352
Ca: 0.000 0.000 0.648
Ca: 0.667 0.333 0.176
Ca: 0.667 0.333 0.824
Mg: 0.667 0.333 0.500



VASP calculation (SCAN) on Ca5Mg at its PBEsol-relaxed geometry.

Calculated values
The calculation puts the polymorph energy (0 for the lowest one) at 10.5 meV/atom. The energy of formation comes out at 0.008 eV/atom. The crystal system is orthorhombic.

abc: 8.316 8.316 5.343
angles: 90.00 90.00 143.14
Element x y z (fractional)
Ca: 0.000 0.000 0.000
Ca: 0.159 0.841 0.500
Ca: 0.338 0.662 0.000
Ca: 0.662 0.338 0.000
Ca: 0.841 0.159 0.500
Mg: 0.500 0.500 0.500



VASP calculation (SCAN) on Ca5Mg4 at its PBEsol-relaxed geometry.

Calculated values
The energy of formation comes out at -0.003 eV/atom. The crystal system is hexagonal.

abc: 9.888 9.888 6.837
angles: 90.00 90.00 120.00
Element x y z (fractional)
Ca: 0.000 0.300 0.250
Ca: 0.000 0.700 0.750
Ca: 0.300 0.000 0.250
Ca: 0.300 0.300 0.750
Ca: 0.333 0.667 0.000
Ca: 0.333 0.667 0.500
Ca: 0.667 0.333 0.000
Ca: 0.667 0.333 0.500
Ca: 0.700 0.000 0.750
Ca: 0.700 0.700 0.250
Mg: 0.000 0.000 0.000
Mg: 0.000 0.000 0.500
Mg: 0.000 0.361 0.750
Mg: 0.000 0.639 0.250
Mg: 0.361 0.000 0.750
Mg: 0.361 0.361 0.250
Mg: 0.639 0.000 0.250
Mg: 0.639 0.639 0.750



VASP calculation (SCAN) on CaMg5 at its PBEsol-relaxed geometry.

Calculated values
The energy of formation comes out at 0.032 eV/atom. The crystal system is orthorhombic.

abc: 5.264 8.800 8.800
angles: 21.74 90.00 90.00
Element x y z (fractional)
Ca: 0.000 0.000 0.000
Mg: 0.000 0.326 0.326
Mg: 0.000 0.671 0.671
Mg: 0.500 0.222 0.222
Mg: 0.500 0.565 0.565
Mg: 0.500 0.884 0.884



VASP calculation (SCAN) on Ca4Mg3 at its PBEsol-relaxed geometry.

Calculated values
The calculation puts the polymorph energy (0 for the lowest one) at 0.0 meV/atom. The energy of formation comes out at -0.035 eV/atom. The crystal system is tetragonal.

abc: 15.628 15.628 15.628
angles: 165.96 165.96 19.91
Element x y z (fractional)
Ca: 0.066 0.066 0.000
Ca: 0.344 0.344 0.000
Ca: 0.656 0.656 0.000
Ca: 0.934 0.934 0.000
Mg: 0.224 0.224 0.000
Mg: 0.500 0.500 0.000
Mg: 0.776 0.776 0.000



VASP calculation (SCAN) on Ca5Mg24 at its PBEsol-relaxed geometry.

Calculated values
The energy of formation comes out at -0.042 eV/atom. The crystal system is cubic.

abc: 9.829 9.829 9.829
angles: 109.47 109.47 109.47
Element x y z (fractional)
Ca: 0.000 0.000 0.000
Ca: 0.000 0.000 0.372
Ca: 0.000 0.372 0.000
Ca: 0.372 0.000 0.000
Ca: 0.628 0.628 0.628
Mg: 0.000 0.325 0.607
Mg: 0.000 0.607 0.325
Mg: 0.000 0.625 0.809
Mg: 0.000 0.809 0.625
Mg: 0.183 0.375 0.375
Mg: 0.191 0.191 0.817
Mg: 0.191 0.817 0.191
Mg: 0.282 0.675 0.675
Mg: 0.325 0.000 0.607
Mg: 0.325 0.607 0.000
Mg: 0.375 0.183 0.375
Mg: 0.375 0.375 0.183
Mg: 0.393 0.393 0.718
Mg: 0.393 0.718 0.393
Mg: 0.607 0.000 0.325
Mg: 0.607 0.325 0.000
Mg: 0.625 0.000 0.809
Mg: 0.625 0.809 0.000
Mg: 0.675 0.282 0.675
Mg: 0.675 0.675 0.282
Mg: 0.718 0.393 0.393
Mg: 0.809 0.000 0.625
Mg: 0.809 0.625 0.000
Mg: 0.817 0.191 0.191



VASP calculation (SCAN) on Ca5Mg at its PBEsol-relaxed geometry.

Calculated values
The calculation puts the polymorph energy (0 for the lowest one) at 3.1 meV/atom. The energy of formation comes out at 0.000 eV/atom. The crystal system is tetragonal.

abc: 3.981 3.981 14.113
angles: 90.00 90.00 90.00
Element x y z (fractional)
Ca: 0.000 0.000 0.000
Ca: 0.000 0.000 0.366
Ca: 0.000 0.000 0.634
Ca: 0.500 0.500 0.183
Ca: 0.500 0.500 0.817
Mg: 0.500 0.500 0.500



VASP calculation (SCAN) on CaMg5 at its PBEsol-relaxed geometry.

Calculated values
The energy of formation comes out at -0.013 eV/atom. The crystal system is cubic.

abc: 5.994 5.994 5.994
angles: 60.00 60.00 60.00
Element x y z (fractional)
Ca: 0.000 0.000 0.000
Mg: 0.375 0.375 0.375
Mg: 0.375 0.375 0.875
Mg: 0.375 0.875 0.375
Mg: 0.750 0.750 0.750
Mg: 0.875 0.375 0.375



VASP calculation (SCAN) on CaMgMn2 at its PBEsol-relaxed geometry.

Calculated values
The energy of formation comes out at 0.145 eV/atom. The crystal system is tetragonal.

abc: 3.387 3.387 7.101
angles: 90.00 90.00 90.00
Element x y z (fractional)
Ca: 0.000 0.000 0.000
Mg: 0.000 0.000 0.500
Mn: 0.500 0.500 0.303
Mn: 0.500 0.500 0.697



VASP calculation (SCAN) on Ca2MgMo at its PBEsol-relaxed geometry.

Calculated values
The energy of formation comes out at 0.574 eV/atom. The crystal system is orthorhombic.

abc: 6.264 6.264 6.264
angles: 146.76 130.06 61.31
Element x y z (fractional)
Ca: 0.000 0.000 0.000
Ca: 0.712 0.212 0.500
Mg: 0.271 0.771 0.500
Mo: 0.469 0.469 0.000



VASP calculation (SCAN) on CaMg3Mo at its PBEsol-relaxed geometry.

Calculated values
The calculation puts the polymorph energy (0 for the lowest one) at 0.0 meV/atom. The energy of formation comes out at 0.675 eV/atom. The crystal system is cubic.

abc: 5.144 5.144 5.144
angles: 90.00 90.00 90.00
Element x y z (fractional)
Ca: 0.000 0.000 0.000
Mg: 0.000 0.500 0.500
Mg: 0.500 0.000 0.500
Mg: 0.500 0.500 0.000
Mo: 0.500 0.500 0.500



VASP calculation (SCAN) on Ca2MgMo at its PBEsol-relaxed geometry.

Calculated values
The energy of formation comes out at 0.504 eV/atom. The crystal system is tetragonal.

abc: 3.521 3.521 8.476
angles: 90.00 90.00 90.00
Element x y z (fractional)
Ca: 0.000 0.000 0.000
Ca: 0.500 0.500 0.365
Mg: 0.000 0.000 0.619
Mo: 0.500 0.500 0.769



VASP calculation (SCAN) on Ca2MgMo at its PBEsol-relaxed geometry.

Calculated values
The energy of formation comes out at 0.589 eV/atom. The crystal system is tetragonal.

abc: 5.207 5.207 3.802
angles: 90.00 90.00 90.00
Element x y z (fractional)
Ca: 0.000 0.500 0.000
Ca: 0.500 0.000 0.000
Mg: 0.000 0.000 0.500
Mo: 0.500 0.500 0.500



VASP calculation (SCAN) on CaMgMo3 at its PBEsol-relaxed geometry.

Calculated values
The energy of formation comes out at 1.998 eV/atom. The crystal system is cubic.

abc: 4.710 4.710 4.710
angles: 90.00 90.00 90.00
Element x y z (fractional)
Ca: 0.000 0.000 0.000
Mg: 0.500 0.500 0.500
Mo: 0.000 0.500 0.500
Mo: 0.500 0.000 0.500
Mo: 0.500 0.500 0.000